# 1
A plane-wave DFT calculation with PBE was carried out for a relaxed MgBe2Co crystal.

Cell lengths 7.9618, 7.9618, 7.9618 Å; angles 151.57, 151.57, 40.64 degrees
Atoms (fractional coordinates):
Mg (0.0000, 0.0000, 0.0000)
Mg (0.7500, 0.2500, 0.5000)
Be (0.3592, 0.1250, 0.7342)
Be (0.3750, 0.6408, 0.7658)
Be (0.3908, 0.6250, 0.2658)
Be (0.8750, 0.6092, 0.2342)
Co (0.2500, 0.7500, 0.5000)
Co (0.5000, 0.5000, 0.0000)

Magnetization in Bohr magnetons per cell: 0.0
Calculated formation energy in meV per atom: 440
Calculated total energy in Ry per atom: -0.26447
Space group: I-42d (122)



# 2
A plane-wave DFT calculation with PBE was carried out for a relaxed MgBe17Co crystal.

Cell lengths 5.5440, 5.5440, 5.5440 Å; angles 82.00, 82.00, 82.00 degrees
Atoms (fractional coordinates):
Mg (0.0000, 0.0000, 0.0000)
Be (0.0104, 0.0104, 0.4926)
Be (0.0104, 0.4926, 0.0104)
Be (0.1589, 0.6652, 0.6652)
Be (0.3244, 0.3244, 0.8018)
Be (0.3244, 0.8018, 0.3244)
Be (0.3616, 0.6541, 0.9718)
Be (0.3616, 0.9718, 0.6541)
Be (0.4926, 0.0104, 0.0104)
Be (0.5634, 0.5634, 0.5634)
Be (0.6541, 0.3616, 0.9718)
Be (0.6541, 0.9718, 0.3616)
Be (0.6652, 0.1589, 0.6652)
Be (0.6652, 0.6652, 0.1589)
Be (0.7585, 0.7585, 0.7585)
Be (0.8018, 0.3244, 0.3244)
Be (0.9718, 0.3617, 0.6541)
Be (0.9718, 0.6541, 0.3617)
Co (0.3544, 0.3544, 0.3544)

Magnetization in Bohr magnetons per cell: 0.0
Calculated formation energy in meV per atom: -4
Calculated total energy in Ry per atom: -0.27896
Space group: R3m (160)



# 3
A plane-wave DFT calculation with PBE was carried out for a relaxed Mg2BeCo crystal.

Cell lengths 3.0826, 3.0826, 5.9591 Å; angles 90.00, 90.00, 90.00 degrees
Atoms (fractional coordinates):
Mg (0.0000, 0.0000, 0.2411)
Mg (0.0000, 0.0000, 0.7589)
Be (0.5000, 0.5000, 0.5000)
Co (0.5000, 0.5000, 0.0000)

Magnetization in Bohr magnetons per cell: 0.0
Calculated formation energy in meV per atom: 262
Calculated total energy in Ry per atom: -0.23837
Space group: P4/mmm (123)



# 4
A plane-wave DFT calculation with PBE was carried out for a relaxed MgBe2Co crystal.

Cell lengths 3.5396, 4.9708, 4.9708 Å; angles 31.31, 90.00, 90.00 degrees
Atoms (fractional coordinates):
Mg (0.0000, 0.0000, 0.0000)
Be (0.0000, 0.7511, 0.7511)
Be (0.5000, 0.6370, 0.6370)
Co (0.5000, 0.3222, 0.3222)

Magnetization in Bohr magnetons per cell: 0.0
Calculated formation energy in meV per atom: 92
Calculated total energy in Ry per atom: -0.29005
Space group: Amm2 (38)



# 5
A plane-wave DFT calculation with PBE was carried out for a relaxed Mg2BeCo crystal.

Cell lengths 5.1036, 5.1036, 4.3336 Å; angles 114.91, 114.91, 33.95 degrees
Atoms (fractional coordinates):
Mg (0.0000, 0.0000, 0.0000)
Mg (0.2122, 0.2122, 0.7109)
Be (0.4379, 0.4379, 0.4390)
Co (0.7632, 0.7632, 0.2616)

Magnetization in Bohr magnetons per cell: 0.0
Calculated formation energy in meV per atom: 77
Calculated total energy in Ry per atom: -0.25196
Space group: Cm (8)



# 6
A plane-wave DFT calculation with PBE was carried out for a relaxed MgBe2Co crystal.

Cell lengths 3.8326, 3.8326, 2.9700 Å; angles 90.00, 90.00, 90.00 degrees
Atoms (fractional coordinates):
Mg (0.0000, 0.0000, 0.0000)
Be (0.0000, 0.5000, 0.5000)
Be (0.5000, 0.0000, 0.5000)
Co (0.5000, 0.5000, 0.0000)

Magnetization in Bohr magnetons per cell: 0.5
Calculated formation energy in meV per atom: 132
Calculated total energy in Ry per atom: -0.28708
Space group: P4/mmm (123)



# 7
A plane-wave DFT calculation with PBE was carried out for a relaxed MgBe3Co crystal.

Cell lengths 3.9902, 3.9902, 3.9902 Å; angles 90.00, 90.00, 90.00 degrees
Atoms (fractional coordinates):
Mg (0.0000, 0.0000, 0.0000)
Be (0.0000, 0.5000, 0.5000)
Be (0.5000, 0.0000, 0.5000)
Be (0.5000, 0.5000, 0.0000)
Co (0.5000, 0.5000, 0.5000)

Magnetization in Bohr magnetons per cell: 0.0
Calculated formation energy in meV per atom: 315
Distance to the lowest polymorph of the same formula in eV per formula unit: 0.000
Calculated total energy in Ry per atom: -0.26909
Space group: Pm-3m (221)



# 8
A plane-wave DFT calculation with PBE was carried out for a relaxed Mg2BeCo crystal.

Cell lengths 8.8431, 8.8431, 8.8431 Å; angles 18.28, 18.28, 18.28 degrees
Atoms (fractional coordinates):
Mg (0.2483, 0.2483, 0.2483)
Mg (0.7517, 0.7517, 0.7517)
Be (0.0000, 0.0000, 0.0000)
Co (0.5000, 0.5000, 0.5000)

Magnetization in Bohr magnetons per cell: 1.4
Calculated formation energy in meV per atom: 434
Calculated total energy in Ry per atom: -0.22575
Space group: R-3m (166)



# 9
A plane-wave DFT calculation with PBE was carried out for a relaxed MgBe2Co4 crystal.

Cell lengths 6.2329, 6.2329, 6.2329 Å; angles 140.81, 140.81, 56.63 degrees
Atoms (fractional coordinates):
Mg (0.0000, 0.0000, 0.0000)
Be (0.4070, 0.4070, 0.0000)
Be (0.5930, 0.5930, 0.0000)
Co (0.0000, 0.5000, 0.5000)
Co (0.2153, 0.2153, 0.0000)
Co (0.5000, 0.0000, 0.5000)
Co (0.7847, 0.7847, 0.0000)

Magnetization in Bohr magnetons per cell: 4.2
Calculated formation energy in meV per atom: 1169
Calculated total energy in Ry per atom: -0.30750
Space group: I4/mmm (139)



# 10
A plane-wave DFT calculation with PBE was carried out for a relaxed MgBe2Co crystal.

Cell lengths 2.7615, 2.7615, 5.8685 Å; angles 90.00, 90.00, 90.00 degrees
Atoms (fractional coordinates):
Mg (0.0000, 0.0000, 0.0000)
Be (0.5000, 0.5000, 0.3139)
Be (0.5000, 0.5000, 0.6861)
Co (0.0000, 0.0000, 0.5000)

Magnetization in Bohr magnetons per cell: 0.0
Calculated formation energy in meV per atom: -62
Calculated total energy in Ry per atom: -0.30136
Space group: P4/mmm (123)



# 11
A plane-wave DFT calculation with PBE was carried out for a relaxed Mg2BeCo crystal.

Cell lengths 3.7916, 5.2815, 5.2815 Å; angles 34.32, 90.00, 90.00 degrees
Atoms (fractional coordinates):
Mg (0.0000, 0.0000, 0.0000)
Mg (0.5000, 0.3136, 0.3136)
Be (0.5000, 0.6108, 0.6108)
Co (0.0000, 0.7104, 0.7104)

Magnetization in Bohr magnetons per cell: 0.0
Calculated formation energy in meV per atom: 139
Calculated total energy in Ry per atom: -0.24742
Space group: Amm2 (38)



# 12
A plane-wave DFT calculation with PBE was carried out for a relaxed MgBe2Co crystal.

Cell lengths 4.2514, 4.2514, 4.2514 Å; angles 130.43, 130.43, 72.73 degrees
Atoms (fractional coordinates):
Mg (0.0000, 0.0000, 0.0000)
Be (0.2500, 0.7500, 0.5000)
Be (0.7500, 0.2500, 0.5000)
Co (0.5000, 0.5000, 0.0000)

Magnetization in Bohr magnetons per cell: 0.0
Calculated formation energy in meV per atom: 102
Calculated total energy in Ry per atom: -0.28930
Space group: I4/mmm (139)



# 13
A plane-wave DFT calculation with PBE was carried out for a relaxed MgBe2Co2 crystal.

Cell lengths 6.4969, 6.4969, 2.5561 Å; angles 90.00, 90.00, 90.00 degrees
Atoms (fractional coordinates):
Mg (0.0000, 0.0000, 0.0000)
Mg (0.5000, 0.5000, 0.0000)
Be (0.1616, 0.3384, 0.5000)
Be (0.3384, 0.8384, 0.5000)
Be (0.6616, 0.1616, 0.5000)
Be (0.8384, 0.6616, 0.5000)
Co (0.1305, 0.6305, 0.0000)
Co (0.3695, 0.1305, 0.0000)
Co (0.6305, 0.8695, 0.0000)
Co (0.8695, 0.3695, 0.0000)

Magnetization in Bohr magnetons per cell: 1.2
Calculated formation energy in meV per atom: -9
Distance to the lowest polymorph of the same formula in eV per formula unit: 0.642
Calculated total energy in Ry per atom: -0.34252
Space group: P4/mbm (127)



# 14
A plane-wave DFT calculation with PBE was carried out for a relaxed Mg2BeCo crystal.

Cell lengths 2.8996, 2.8996, 6.9115 Å; angles 90.00, 90.00, 90.00 degrees
Atoms (fractional coordinates):
Mg (0.0000, 0.0000, 0.0000)
Mg (0.5000, 0.5000, 0.3602)
Be (0.0000, 0.0000, 0.6290)
Co (0.5000, 0.5000, 0.7458)

Magnetization in Bohr magnetons per cell: 0.0
Calculated formation energy in meV per atom: -8
Calculated total energy in Ry per atom: -0.25823
Space group: P4mm (99)



# 15
A plane-wave DFT calculation with PBE was carried out for a relaxed Mg2BeCo crystal.

Cell lengths 4.2739, 4.2739, 4.2739 Å; angles 60.00, 60.00, 60.00 degrees
Atoms (fractional coordinates):
Mg (0.0000, 0.0000, 0.0000)
Mg (0.2500, 0.2500, 0.2500)
Be (0.5000, 0.5000, 0.5000)
Co (0.7500, 0.7500, 0.7500)

Magnetization in Bohr magnetons per cell: 0.0
Calculated formation energy in meV per atom: 243
Calculated total energy in Ry per atom: -0.23976
Space group: F-43m (216)



# 16
A plane-wave DFT calculation with PBE was carried out for a relaxed Mg2BeCo crystal.

Cell lengths 4.8470, 4.8470, 4.8470 Å; angles 134.90, 134.90, 65.68 degrees
Atoms (fractional coordinates):
Mg (0.0000, 0.0000, 0.0000)
Mg (0.7500, 0.2500, 0.5000)
Be (0.2500, 0.7500, 0.5000)
Co (0.5000, 0.5000, 0.0000)

Magnetization in Bohr magnetons per cell: 0.8
Calculated formation energy in meV per atom: 216
Calculated total energy in Ry per atom: -0.24176
Space group: I-4m2 (119)



# 17
A plane-wave DFT calculation with PBE was carried out for a relaxed MgBe2Co crystal.

Cell lengths 8.0639, 8.0639, 8.0639 Å; angles 18.87, 18.87, 18.87 degrees
Atoms (fractional coordinates):
Mg (0.0000, 0.0000, 0.0000)
Be (0.2357, 0.2357, 0.2357)
Be (0.7643, 0.7643, 0.7643)
Co (0.5000, 0.5000, 0.5000)

Magnetization in Bohr magnetons per cell: 0.6
Calculated formation energy in meV per atom: 295
Calculated total energy in Ry per atom: -0.27511
Space group: R-3m (166)



# 18
A plane-wave DFT calculation with PBE was carried out for a relaxed MgBeCoNi2 crystal.

Cell lengths 3.8743, 3.8743, 4.3290 Å; angles 90.00, 90.00, 90.00 degrees
Atoms (fractional coordinates):
Mg (0.0000, 0.0000, 0.0000)
Be (0.0000, 0.0000, 0.5000)
Co (0.5000, 0.5000, 0.0000)
Ni (0.0000, 0.5000, 0.5000)
Ni (0.5000, 0.0000, 0.5000)

Magnetization in Bohr magnetons per cell: 1.6
Calculated formation energy in meV per atom: 521
Calculated total energy in Ry per atom: -0.31433
Space group: P4/mmm (123)



# 19
A plane-wave DFT calculation with PBE was carried out for a relaxed MgBe2CoP crystal.

Cell lengths 4.0110, 4.0110, 4.6014 Å; angles 90.00, 90.00, 90.00 degrees
Atoms (fractional coordinates):
Mg (0.0000, 0.0000, 0.0000)
Be (0.0000, 0.5000, 0.5000)
Be (0.5000, 0.0000, 0.5000)
Co (0.0000, 0.0000, 0.5000)
P (0.5000, 0.5000, 0.0000)

Magnetization in Bohr magnetons per cell: 0.0
Calculated formation energy in meV per atom: 702
Calculated total energy in Ry per atom: -0.26535
Space group: P4/mmm (123)



# 20
A plane-wave DFT calculation with PBE was carried out for a relaxed RbMg2BeCo crystal.

Cell lengths 5.0298, 5.0298, 4.3272 Å; angles 90.00, 90.00, 90.00 degrees
Atoms (fractional coordinates):
Rb (0.0000, 0.0000, 0.0000)
Mg (0.0000, 0.5000, 0.5000)
Mg (0.5000, 0.0000, 0.5000)
Be (0.5000, 0.5000, 0.5000)
Co (0.5000, 0.5000, 0.0000)

Magnetization in Bohr magnetons per cell: 0.0
Calculated formation energy in meV per atom: 653
Calculated total energy in Ry per atom: -0.17236
Space group: P4/mmm (123)